{"formula": "GeSb2S", "functional": "PBE", "state": "relaxed", "cell": [[-5.986, 0.827, -2.344], [1.264, -4.251, -4.726], [-4.455, -6.429, 0.147]], "species": ["Sb", "Sb", "Sb", "Sb", "Ge", "Ge", "S", "S"], "fractional_positions": [[0.622, 0.125, 0.250], [0.128, 0.625, 0.250], [0.375, 0.378, 0.750], [0.875, 0.872, 0.750], [0.000, 0.000, 0.000], [0.750, 0.250, 0.500], [0.500, 0.500, 0.000], [0.250, 0.750, 0.500]], "dos_at_fermi_per_ev_cell": 4.19, "e_form_raw_ev_per_fu": 1.3, "space_group": "I-42d (122)", "polymorph_energy_ev_per_atom": 0.0325, "vol_a3_per_atom": 33.29}


{"formula": "MgReTe2", "functional": "PBE", "state": "relaxed", "cell": [[-2.643, 3.985, 1.201], [-2.661, 2.322, -3.440], [-4.922, -0.248, 0.108]], "species": ["Mg", "Re", "Te", "Te"], "fractional_positions": [[0.500, 0.500, 0.500], [0.750, 0.750, 0.750], [0.000, 0.000, 0.000], [0.250, 0.250, 0.250]], "dos_at_fermi_per_ev_cell": 4.61, "e_form_raw_ev_per_fu": 3.7, "space_group": "F-43m (216)", "vol_a3_per_atom": 21.18}


{"formula": "KCa2Cd2Sn2", "functional": "PBE", "state": "relaxed", "cell": [[5.103, 0.000, 0.000], [2.552, 4.420, 0.000], [2.552, 1.473, 10.110]], "species": ["K", "Ca", "Ca", "Cd", "Cd", "Sn", "Sn"], "fractional_positions": [[0.000, 0.000, 0.000], [0.134, 0.134, 0.597], [0.866, 0.866, 0.403], [0.569, 0.569, 0.293], [0.431, 0.431, 0.707], [0.752, 0.752, 0.743], [0.248, 0.248, 0.257]], "dos_at_fermi_per_ev_cell": 1.55, "space_group": "R-3m (166)", "formation_enthalpy_0k_ev_per_atom": -0.36, "vol_a3_per_atom": 32.57}


{"formula": "SmY2ScHg4", "functional": "PBE", "state": "relaxed", "cell": [[-4.597, -2.432, 0.399], [-1.524, -1.961, 4.587], [-5.822, 6.002, 3.597]], "species": ["Sm", "Y", "Y", "Sc", "Hg", "Hg", "Hg", "Hg"], "fractional_positions": [[0.000, 0.000, 0.000], [0.752, 0.752, 0.743], [0.248, 0.248, 0.257], [0.500, 0.500, 0.500], [0.379, 0.379, 0.862], [0.873, 0.873, 0.381], [0.127, 0.127, 0.619], [0.621, 0.621, 0.138]], "dos_at_fermi_per_ev_cell": 8.50, "space_group": "R-3m (166)", "formation_enthalpy_0k_ev_per_atom": -0.46, "vol_a3_per_atom": 25.30}


{"formula": "Pr2TcGe", "functional": "PBE", "state": "relaxed", "cell": [[-0.589, 1.632, 2.859], [-2.849, -0.528, 1.670], [3.342, -7.221, 6.767]], "species": ["Pr", "Pr", "Ge", "Tc"], "fractional_positions": [[0.087, 0.087, 0.740], [0.913, 0.913, 0.260], [0.500, 0.500, 0.500], [0.000, 0.000, 0.000]], "dos_at_fermi_per_ev_cell": 4.09, "space_group": "R-3m (166)", "formation_enthalpy_0k_ev_per_atom": 0.52, "vol_a3_per_atom": 24.86}


{"formula": "Cs2VAgC", "functional": "PBE", "state": "relaxed", "cell": [[7.203, 0.000, 0.000], [0.000, 7.203, 0.000], [0.000, 0.000, 3.929]], "species": ["Cs", "Cs", "C", "Ag", "V"], "fractional_positions": [[0.000, 0.500, 0.000], [0.500, 0.000, 0.000], [0.000, 0.000, 0.500], [0.000, 0.000, 0.000], [0.500, 0.500, 0.500]], "dos_at_fermi_per_ev_cell": 8.29, "space_group": "P4/mmm (123)", "formation_enthalpy_0k_ev_per_atom": 1.48, "vol_a3_per_atom": 40.77}


no.,magnetization (μB/atom)
1,0.00
2,0.00
3,0.00
4,0.08
5,0.14
6,0.85